# LiMn2Ag

A geometry-optimized LiMn2Ag structure (PBE-GGA, Alexandria via LeMat-Bulk).

## Properties
- V: 62.4 Å³ per cell
- Calculated total energy: -21.48 eV per cell
- Size of the total moment: 1.739 μB/atom
- DFT formation energy: 0.41 eV/atom

```
LiMn2Ag
1.0
9.445 0.009 0.005
9.033 2.760 0.005
9.033 1.353 2.405
Ag Li Mn
1 1 2
direct
0.250 0.250 0.250
0.750 0.750 0.750
0.499 0.499 0.499
0.001 0.001 0.001
```

# LiMnAg2

A geometry-optimized LiMnAg2 structure (PBE-GGA, Alexandria via LeMat-Bulk).

## Properties
- V: 65.5 Å³ per cell
- Calculated total energy: -16.55 eV per cell
- Size of the total moment: 0.988 μB/atom
- DFT formation energy: 0.06 eV/atom

```
LiMnAg2
1.0
4.605 0.000 0.000
0.000 4.605 0.000
0.000 0.000 3.088
Mn Ag Li
1 2 1
direct
0.000 0.500 0.500
0.000 0.000 0.000
0.500 0.500 0.000
0.500 0.000 0.500
```

# LiMnAg2

A geometry-optimized LiMnAg2 structure (PBE-GGA, Alexandria via LeMat-Bulk).

## Properties
- V: 66.5 Å³ per cell
- Calculated total energy: -16.18 eV per cell
- Size of the total moment: 1.004 μB/atom
- DFT formation energy: 0.15 eV/atom

```
LiMnAg2
1.0
4.808 -0.110 0.110
4.000 2.670 0.110
0.704 0.205 5.026
Ag Li Mn
2 1 1
direct
0.997 0.997 0.999
0.503 0.503 0.501
0.750 0.750 0.750
0.250 0.250 0.250
```

# Li2MnAg

A geometry-optimized Li2MnAg structure (PBE-GGA, Alexandria via LeMat-Bulk).

## Properties
- V: 64.6 Å³ per cell
- Calculated total energy: -15.28 eV per cell
- Size of the total moment: 0.942 μB/atom
- DFT formation energy: 0.14 eV/atom

```
Li2MnAg
1.0
4.682 0.000 0.000
0.000 2.783 -0.010
0.000 0.378 4.955
Mn Li Ag
1 2 1
direct
0.500 0.250 0.250
0.000 0.989 0.999
0.000 0.511 0.501
0.500 0.750 0.750
```

# Li2MnAg

A geometry-optimized Li2MnAg structure (PBE-GGA, Alexandria via LeMat-Bulk).

## Properties
- V: 63.6 Å³ per cell
- Calculated total energy: -15.18 eV per cell
- Size of the total moment: 0.898 μB/atom
- DFT formation energy: 0.17 eV/atom

```
Li2MnAg
1.0
9.260 -0.100 -0.059
8.856 2.708 -0.059
8.856 1.275 2.390
Mn Ag Li
1 1 2
direct
0.250 0.250 0.250
0.750 0.750 0.750
0.001 0.001 0.001
0.499 0.499 0.499
```

# Li2MnAg2

A geometry-optimized Li2MnAg2 structure (PBE-GGA, Alexandria via LeMat-Bulk).

## Properties
- V: 144.1 Å³ per cell
- Calculated total energy: -33.40 eV per cell
- Size of the total moment: 0.045 μB/atom
- DFT formation energy: 0.40 eV/atom

```
Li2MnAg2
1.0
-2.453 4.081 5.475
-1.967 -5.993 3.587
2.466 -0.102 1.181
Mn Ag Li
2 4 4
direct
0.000 0.000 0.000
0.500 0.500 0.000
0.180 0.680 0.500
0.680 0.820 0.500
0.320 0.180 0.500
0.820 0.320 0.500
0.878 0.622 0.000
0.122 0.378 0.000
0.378 0.878 0.000
0.622 0.122 0.000
```

# LiMn2Ag

A geometry-optimized LiMn2Ag structure (PBE-GGA, Alexandria via LeMat-Bulk).

## Properties
- V: 64.4 Å³ per cell
- Calculated total energy: -21.41 eV per cell
- Size of the total moment: 1.888 μB/atom
- DFT formation energy: 0.42 eV/atom

```
LiMn2Ag
1.0
2.748 0.008 0.000
-1.099 2.519 0.000
0.000 0.000 9.297
Mn Li Ag
2 1 1
direct
0.000 0.000 0.997
0.000 0.000 0.503
0.500 0.500 0.750
0.500 0.500 0.250
```

# Li2MnAg

A geometry-optimized Li2MnAg structure (PBE-GGA, Alexandria via LeMat-Bulk).

## Properties
- V: 64.8 Å³ per cell
- Calculated total energy: -15.25 eV per cell
- Size of the total moment: 0.974 μB/atom
- DFT formation energy: 0.15 eV/atom

```
Li2MnAg
1.0
-1.502 -1.842 -4.279
-2.083 -3.790 -2.293
-4.678 1.544 0.145
Ag Mn Li
1 1 2
direct
0.249 0.249 0.257
0.504 0.504 0.488
0.752 0.752 0.754
0.994 0.994 0.000
```

# LiMn2Ag

A geometry-optimized LiMn2Ag structure (PBE-GGA, Alexandria via LeMat-Bulk).

## Properties
- V: 50.6 Å³ per cell
- Calculated total energy: -21.32 eV per cell
- Size of the total moment: 0.000 μB/atom
- DFT formation energy: 0.45 eV/atom

```
LiMn2Ag
1.0
5.042 0.001 0.001
4.192 2.801 0.001
1.172 0.356 3.582
Li Mn Ag
1 2 1
direct
0.250 0.250 0.250
0.999 0.999 0.033
0.501 0.501 0.467
0.750 0.750 0.750
```

# Li3MnAg

A geometry-optimized Li3MnAg structure (PBE-GGA, Alexandria via LeMat-Bulk).

## Properties
- V: 110.3 Å³ per cell
- Calculated total energy: -15.28 eV per cell
- Size of the total moment: 0.877 μB/atom
- DFT formation energy: 0.50 eV/atom

```
Li3MnAg
1.0
-4.617 1.041 -0.771
-1.221 -2.544 3.877
0.432 3.930 2.715
Li Mn Ag
3 1 1
direct
0.500 0.000 0.000
0.000 0.500 0.000
0.000 0.000 0.500
0.500 0.500 0.500
0.000 0.000 0.000
```

# Li2MnAg

A geometry-optimized Li2MnAg structure (PBE-GGA, Alexandria via LeMat-Bulk).

## Properties
- V: 68.2 Å³ per cell
- Calculated total energy: -15.18 eV per cell
- Size of the total moment: 1.003 μB/atom
- DFT formation energy: 0.17 eV/atom

```
Li2MnAg
1.0
-0.482 1.466 2.487
2.451 -1.125 1.139
4.151 6.174 -2.833
Li Mn Ag
2 1 1
direct
0.000 0.000 0.981
0.500 0.500 0.260
0.000 0.000 0.508
0.500 0.500 0.750
```

# Li2MnAg

A geometry-optimized Li2MnAg structure (PBE-GGA, Alexandria via LeMat-Bulk).

## Properties
- V: 64.0 Å³ per cell
- Calculated total energy: -15.33 eV per cell
- Size of the total moment: 0.925 μB/atom
- DFT formation energy: 0.13 eV/atom

```
Li2MnAg
1.0
-0.726 1.287 -4.706
-2.378 -0.985 -4.208
-3.840 2.896 0.480
Mn Li Ag
1 2 1
direct
0.750 0.750 0.750
0.996 0.996 0.004
0.504 0.504 0.496
0.250 0.250 0.250
```